Record 1
Computed, not measured: a geometry-optimized NbCuSO structure at the PBE-GGA level of DFT.

The uncorrected formation energy is -3.43 eV per formula unit. For the magnetic moment, the calculation gives 0.00 μB/f.u.

It has space group P4/nmm (No. 129, origin choice 2), with a = 3.457 Å, b = 3.457 Å, c = 8.502 Å, α = 90.00°, β = 90.00° and γ = 90.00°. The asymmetric unit holds Nb at (0.250, 0.250, 0.153), Cu at (0.250, 0.750, 0.500), S at (0.250, 0.250, 0.716) and O at (0.250, 0.750, 0.000).

***

Record 2
Computed, not measured: a geometry-optimized Ba2PrCd3In4 structure at the PBE-GGA level of DFT.

Its energy relative to the elements is -0.327 eV/atom. For the magnetic moment, the calculation gives 0.01 μB/f.u.

It has space group P-4m2 (No. 115), with a = 4.906 Å, b = 4.906 Å, c = 13.240 Å, α = 90.00°, β = 90.00° and γ = 90.00°. The asymmetric unit holds Ba at (0.000, 0.500, 0.233), Pr at (0.000, 0.000, 0.500), Cd at (0.000, 0.500, 0.869), Cd at (0.500, 0.500, 0.500), In at (0.000, 0.000, 0.000), In at (0.000, 0.500, 0.652) and In at (0.500, 0.500, 0.000).

***

Record 3
Computed, not measured: a geometry-optimized La2Pm2Er5 structure at the PBE-GGA level of DFT.

Its energy relative to the elements is 0.221 eV/atom. For the energy above the lowest structure with this stoichiometry, the calculation gives 23 meV/atom. For the magnetic moment, the calculation gives 0.00 μB/f.u.

It has space group C2/m (No. 12), with a = 21.634 Å, b = 3.503 Å, c = 8.371 Å, α = 90.00°, β = 100.53° and γ = 90.00°. The asymmetric unit holds La at (0.183, 0.000, 0.143), Pm at (0.045, 0.500, 0.356), Er at (0.000, 0.000, 0.000), Er at (0.100, 0.000, 0.736) and Er at (0.191, 0.500, 0.528).